Entry from Alexandria via LeMat-Bulk: a relaxed SrRu2Cl crystal (PBE).

Calculated values
symmetry	R-3m
uncorrected formation energy	0.967	eV per atom
DOS(E_F)	1.48	states/eV/atom
total moment	0.0	μB/cell

Geometry as extended XYZ:
```
12
Lattice="3.094 0.000 0.000 -1.547 2.679 0.000 0.000 0.000 26.865" Properties=species:S:1:pos:R:3 pbc="T T T"
Sr 0.000 0.000 0.000
Sr 0.000 1.786 17.910
Sr 1.547 0.893 8.955
Ru 0.000 0.000 6.397
Ru 0.000 0.000 20.468
Ru 0.000 1.786 11.513
Ru 0.000 1.786 24.307
Ru 1.547 0.893 2.558
Ru 1.547 0.893 15.352
Cl 0.000 0.000 13.432
Cl 0.000 1.786 4.477
Cl 1.547 0.893 22.387
```

Entry from Alexandria via LeMat-Bulk: a relaxed Er7Tl4Cd crystal (PBE).

Calculated values
symmetry	C2/m
DOS(E_F)	1.09	states/eV/atom
DFT formation energy	-2.7	kJ/mol of atoms
total moment	0.9	μB/cell

Geometry as extended XYZ:
```
12
Lattice="7.231 -2.813 0.000 7.231 2.813 0.000 -6.688 0.000 8.798" Properties=species:S:1:pos:R:3 pbc="T T T"
Er 0.000 0.000 0.000
Er -1.647 0.000 5.191
Er 3.258 0.000 1.136
Er 1.700 0.000 5.933
Er 6.075 0.000 2.865
Er 4.516 0.000 7.663
Er 9.422 0.000 3.607
Tl -4.185 0.000 6.842
Tl 0.760 0.000 2.978
Tl 7.014 0.000 5.820
Tl 11.959 0.000 1.956
Cd 7.231 0.000 0.000
```

Entry from Alexandria via LeMat-Bulk: a relaxed CrTcTeW2 crystal (PBE).

Calculated values
symmetry	P4/mmm
uncorrected formation energy	2.680	eV per atom
DOS(E_F)	1.43	states/eV/atom
total moment	0.6	μB/cell

Geometry as extended XYZ:
```
5
Lattice="4.839 0.000 0.000 0.000 4.839 0.000 0.000 0.000 4.709" Properties=species:S:1:pos:R:3 pbc="T T T"
Cr 0.000 0.000 0.000
Tc 2.420 2.420 0.000
Te 2.420 2.420 2.355
W 0.000 2.420 2.355
W 2.420 0.000 2.355
```

Entry from Alexandria via LeMat-Bulk: a relaxed KRu2W crystal (PBE).

Calculated values
symmetry	Pm
DOS(E_F)	1.41	states/eV/atom
DFT formation energy	82.8	kJ/mol of atoms
total moment	0.0	μB/cell

Geometry as extended XYZ:
```
4
Lattice="2.748 0.000 0.000 0.000 3.856 0.000 -0.023 0.000 8.118" Properties=species:S:1:pos:R:3 pbc="T T T"
K 0.000 0.000 0.000
Ru 1.246 1.928 5.486
Ru 2.536 0.000 4.147
W 1.337 1.928 2.982
```

Entry from Alexandria via LeMat-Bulk: a relaxed ZnPSe2N crystal (PBE).

Calculated values
symmetry	P4/mmm
uncorrected formation energy	1.135	eV per atom
DOS(E_F)	0.73	states/eV/atom
total moment	1.8	μB/cell

Geometry as extended XYZ:
```
5
Lattice="5.054 0.000 0.000 0.000 5.054 0.000 0.000 0.000 3.701" Properties=species:S:1:pos:R:3 pbc="T T T"
Zn 0.000 0.000 0.000
P 2.527 2.527 1.850
Se 0.000 2.527 0.000
Se 2.527 0.000 0.000
N 0.000 0.000 1.850
```

Entry from Alexandria via LeMat-Bulk: a relaxed MgMo2 crystal (PBE).

Calculated values
symmetry	P6_3/mmc
DOS(E_F)	1.07	states/eV/atom
DFT formation energy	54.1	kJ/mol of atoms
total moment	0.0	μB/cell

Geometry as extended XYZ:
```
6
Lattice="4.588 0.000 0.000 -2.294 3.974 0.000 0.000 0.000 5.363" Properties=species:S:1:pos:R:3 pbc="T T T"
Mg 0.000 2.649 1.341
Mg 2.294 1.325 4.022
Mo 0.000 0.000 0.000
Mo 0.000 0.000 2.682
Mo 0.000 2.649 4.022
Mo 2.294 1.325 1.341
```

Entry from Alexandria via LeMat-Bulk: a relaxed TbAl2Cu4 crystal (PBE).

Calculated values
symmetry	I4/mmm
DOS(E_F)	0.54	states/eV/atom
DFT formation energy	-33.3	kJ/mol of atoms
total moment	0.0	μB/cell

Geometry as extended XYZ:
```
14
Lattice="6.419 0.000 0.000 0.000 6.419 0.000 0.000 0.000 5.144" Properties=species:S:1:pos:R:3 pbc="T T T"
Tb 0.000 0.000 0.000
Tb 3.210 3.210 2.572
Al 0.000 3.210 1.286
Al 0.000 3.210 3.858
Al 3.210 0.000 1.286
Al 3.210 0.000 3.858
Cu 1.227 1.227 2.572
Cu 1.227 5.192 2.572
Cu 1.983 1.983 0.000
Cu 1.983 4.437 0.000
Cu 4.437 1.983 0.000
Cu 4.437 4.437 0.000
Cu 5.192 1.227 2.572
Cu 5.192 5.192 2.572
```

Entry from Alexandria via LeMat-Bulk: a relaxed BaSbAsO6 crystal (PBE).

Calculated values
symmetry	P312
uncorrected formation energy	-1.813	eV per atom
DOS(E_F)	0.00	states/eV/atom
total moment	0.0	μB/cell

Geometry as extended XYZ:
```
9
Lattice="5.196 0.000 0.000 -2.598 4.500 0.000 0.000 0.000 5.877" Properties=species:S:1:pos:R:3 pbc="T T T"
Ba 0.000 0.000 0.000
Sb 2.598 1.500 2.938
As 0.000 3.000 2.938
O -0.931 1.786 4.039
O -1.517 2.801 1.838
O 0.931 1.786 1.838
O -0.586 4.413 4.039
O 1.517 2.801 4.039
O 0.586 4.413 1.838
```

- Which of these has the lowest DOS(E_F)?
  BaSbAsO6